CeSbPd | PBE | relaxed

Unit cell a=5.180 b=5.180 c=5.724 alpha=90.00 beta=90.00 gamma=120.00
Fractional coordinates of all 6 atoms:
Ce (0.000, 0.000, 0.740)
Ce (0.000, 0.000, 0.260)
Sb (0.333, 0.667, 0.000)
Sb (0.667, 0.333, 0.000)
Pd (0.667, 0.333, 0.500)
Pd (0.333, 0.667, 0.500)

Symmetry: P6/mmm
Calculated density, g/cm³: 9.20
ΔE_f (raw), kJ/mol of atoms: -56